(1)
# Hf2TaNiAg

A relaxed structure of Hf2TaNiAg (PBE, the Alexandria database).

**Volume**: 112.5 Å³/f.u.
**Energy of formation**: 6.79 eV/f.u.
**ΔE to the lowest computed polymorph**: 654 meV/atom

Cell lengths 5.0096, 5.0096, 4.4827 Å; angles 90.00, 90.00, 90.00 degrees
Last column: nearest neighbours and their distance in Å.
Element x y z (fractional)
Hf 0.5000 0.0000 0.0000  2 Ag 2.50
Hf 0.0000 0.5000 0.0000  2 Ag 2.50
Ni 0.0000 0.0000 0.5000  2 Ag 2.24
Ag 0.0000 0.0000 0.0000  2 Ni 2.24, 4 Hf 2.50
Ta 0.5000 0.5000 0.5000  8 Hf 3.36, 4 Ni 3.54

---

(2)
# HfZrNiAg2

A relaxed structure of HfZrNiAg2 (PBE, the Alexandria database).

**Volume**: 115.1 Å³/f.u.
**Energy of formation**: 5.70 eV/f.u.

Cell lengths 5.0827, 4.4546, 5.0827 Å; angles 90.00, 90.00, 90.00 degrees
Last column: nearest neighbours and their distance in Å.
Element x y z (fractional)
Ni 0.0000 0.5000 0.0000  2 Zr 2.23
Zr 0.0000 0.0000 0.0000  2 Ni 2.23
Ag 0.0000 0.0000 0.5000  2 Zr 2.54
Ag 0.5000 0.0000 0.0000  2 Zr 2.54
Hf 0.5000 0.5000 0.5000  8 Ag 3.38, 4 Ni 3.59

---

(3)
# HfNpAgO6

A relaxed structure of HfNpAgO6 (PBE, the Alexandria database).

**Uncorrected formation energy**: -2366 meV per atom
**Volume**: 134.4 Å³/f.u.

Cell lengths 5.6091, 5.6091, 9.8619 Å; angles 90.00, 90.00, 120.00 degrees
Last column: nearest neighbours and their distance in Å.
Element x y z (fractional)
O 0.3764 0.3691 0.3580  1 Np 2.04, 1 Hf 2.09
O 0.6236 0.9927 0.8580  1 Np 2.04, 1 Hf 2.09
O 0.0073 0.6309 0.8580  1 Np 2.04, 1 Hf 2.09
O 0.3691 0.9927 0.6420  1 Np 2.04, 1 Hf 2.09
O 0.9927 0.3691 0.1420  1 Np 2.04, 1 Hf 2.09
O 0.3764 0.0073 0.1420  1 Np 2.04, 1 Hf 2.09
O 0.9927 0.6236 0.3580  1 Np 2.04, 1 Hf 2.09
O 0.6236 0.6309 0.6420  1 Np 2.04, 1 Hf 2.09
O 0.6309 0.0073 0.3580  1 Np 2.04, 1 Hf 2.09
O 0.6309 0.6236 0.1420  1 Np 2.04, 1 Hf 2.09
O 0.3691 0.3764 0.8580  1 Np 2.04, 1 Hf 2.09
O 0.0073 0.3764 0.6420  1 Np 2.04, 1 Hf 2.09
Hf 0.3333 0.6667 0.2500  6 O 2.09
Hf 0.6667 0.3333 0.7500  6 O 2.09
Ag 0.0000 0.0000 0.5000  6 O 2.52
Ag 0.0000 0.0000 0.0000  6 O 2.52
Np 0.6667 0.3333 0.2500  6 O 2.04
Np 0.3333 0.6667 0.7500  6 O 2.04

---

(4)
# HfAgO

A relaxed structure of HfAgO (PBE, the Alexandria database).

**Uncorrected formation energy**: -1137 meV per atom
**Volume**: 56.5 Å³/f.u.

Cell lengths 4.9256, 3.1664, 7.8162 Å; angles 101.69, 108.37, 90.00 degrees
Last column: nearest neighbours and their distance in Å.
Element x y z (fractional)
Ag 0.6986 0.1986 0.3972  1 Hf 2.89, 2 Ag 3.17
Ag 0.3014 0.8014 0.6028  1 Hf 2.89, 2 Ag 3.17
Hf 0.8980 0.3980 0.7959  2 O 1.93
Hf 0.1020 0.6020 0.2041  2 O 1.93
O 0.2528 0.5000 0.0000  2 Hf 1.93
O 0.7472 0.5000 0.0000  2 Hf 1.93